Entry 1:
Entry from Alexandria: a relaxed Pr2Pd3Pt crystal (PBE).

Results
Its space group is P6_3/mmc. As for the polymorph energy (0 for the lowest one): 0.0 meV/atom. As for the energy of formation: -0.750 eV per atom.

Cell lengths 4.5486, 4.5486, 14.9717 Å; angles 90.00, 90.00, 120.00 degrees
Fractional positions:
1 Pr 0.0000 0.0000 0.6254
2 Pr 0.0000 0.0000 0.3746
3 Pr 0.0000 0.0000 0.1254
4 Pr 0.0000 0.0000 0.8746
5 Pd 0.6667 0.3333 0.2500
6 Pd 0.3333 0.6667 0.7500
7 Pd 0.6667 0.3333 0.5019
8 Pd 0.3333 0.6667 0.4981
9 Pd 0.3333 0.6667 0.0019
10 Pd 0.6667 0.3333 0.9981
11 Pt 0.6667 0.3333 0.7500
12 Pt 0.3333 0.6667 0.2500

Entry 2:
Entry from Alexandria: a relaxed Ti2AsCCl crystal (PBE).

Results
Its space group is P4/mmm. The total energy is -30.3 eV/cell.

Cell lengths 4.3752, 4.0159, 4.3752 Å; angles 90.00, 90.00, 90.00 degrees
Fractional positions:
1 As 0.5000 0.5000 0.5000
2 Cl 0.0000 0.5000 0.0000
3 C 0.0000 0.0000 0.0000
4 Ti 0.0000 0.0000 0.5000
5 Ti 0.5000 0.0000 0.0000

Entry 3:
Entry from Alexandria: a relaxed MgOs2Pt crystal (PBE).

Results
Its space group is P4/mmm. As for the energy of formation: 0.453 eV per atom.

Cell lengths 3.1949, 3.1949, 5.9533 Å; angles 90.00, 90.00, 90.00 degrees
Fractional positions:
1 Mg 0.5000 0.5000 0.7500
2 Os 0.0000 0.0000 0.0067
3 Os 0.0000 0.0000 0.4933
4 Pt 0.5000 0.5000 0.2500

Entry 4:
Entry from Alexandria: a relaxed TaReTcSn crystal (PBE).

Results
Its space group is F-43m. As for the energy of formation: -0.065 eV per atom.

Cell lengths 4.5581, 4.5581, 4.5581 Å; angles 60.00, 60.00, 60.00 degrees
Fractional positions:
1 Tc 0.0000 0.0000 0.0000
2 Re 0.5000 0.5000 0.5000
3 Sn 0.2500 0.2500 0.2500
4 Ta 0.7500 0.7500 0.7500

Entry 5:
Entry from Alexandria: a relaxed SrSiTc2Sb crystal (PBE).

Results
Its space group is P4/mmm. The total energy is -28.9 eV/cell.

Cell lengths 4.6136, 5.4469, 4.6136 Å; angles 90.00, 90.00, 90.00 degrees
Fractional positions:
1 Sb 0.5000 0.5000 0.5000
2 Si 0.0000 0.0000 0.0000
3 Tc 0.0000 0.0000 0.5000
4 Tc 0.5000 0.0000 0.0000
5 Sr 0.0000 0.5000 0.0000

Entry 6:
Entry from Alexandria: a relaxed Pr2SmDy3Sb6 crystal (PBE).

Results
Its space group is C2/m. The total energy is -66.7 eV/cell.

Cell lengths 4.4588, 8.9109, 9.9615 Å; angles 102.83, 102.93, 90.00 degrees
Fractional positions:
1 Pr 0.8339 0.6672 0.6677
2 Pr 0.1661 0.3328 0.3323
3 Sm 0.5000 0.0000 0.0000
4 Dy 0.5000 0.5000 0.0000
5 Dy 0.8327 0.1662 0.6654
6 Dy 0.1673 0.8338 0.3346
7 Sb 0.3324 0.9237 0.6649
8 Sb 0.6643 0.5896 0.3286
9 Sb 0.6676 0.0763 0.3351
10 Sb 0.9971 0.2522 0.9942
11 Sb 0.0029 0.7478 0.0058
12 Sb 0.3357 0.4104 0.6714

Q: Number 1 is which compound?
A: Pr2Pd3Pt